1.
Density functional theory data (GGA-PBE) for an optimized crystal structure of FeCu2Ru.

Unit cell a=3.5856 b=3.6166 c=7.7967 alpha=90.00 beta=90.00 gamma=90.00
With the nearest neighbours (Å) after each atom.
Space group Immm (No. 71)
One atom of each set of equivalent atoms:
Fe  0.0000  0.0000  0.0000 x2  4 Ru 2.55, 8 Cu 2.65-2.66
Cu  0.0000  0.5000  0.2504 x4  4 Cu 2.55, 4 Fe 2.65-2.66, 4 Ru 2.65-2.66
Ru  0.0000  0.0000  0.5000 x2  4 Fe 2.55, 8 Cu 2.65-2.66

Magnetic moment = 7.47 μB/cell
ΔH_f (0 K) = 0.2263 eV/atom
Energy above the lowest structure with this stoichiometry = 0.298 eV per formula unit

***

2.
Density functional theory data (GGA-PBE) for an optimized crystal structure of FeCuRu.

Unit cell a=2.6266 b=3.5866 c=7.9405 alpha=90.00 beta=90.00 gamma=90.00
With the nearest neighbours (Å) after each atom.
Space group Pmmn (No. 59, origin choice 2)
One atom of each set of equivalent atoms:
Fe  0.2500  0.2500  0.0839 x2  5 Ru 2.53-2.54, 6 Fe 2.59-2.63, 1 Cu 2.68
Cu  0.2500  0.2500  0.4213 x2  6 Cu 2.55-2.63, 5 Ru 2.66-2.72, 1 Fe 2.68
Ru  0.2500  0.2500  0.7638 x2  5 Fe 2.53-2.54, 2 Ru 2.63, 5 Cu 2.66-2.72

Magnetic moment = 3.41 μB/cell
ΔH_f (0 K) = 0.1961 eV/atom
Energy above the lowest structure with this stoichiometry = 0.026 eV per formula unit

***

> Which value of energy above the lowest structure with this stoichiometry does entry 2 give?

0.026 eV per formula unit